Record 1
The following is a meta-GGA SCAN calculation of K3Hg at its PBEsol-relaxed geometry, from Alexandria via LeMat-Bulk.

```
4
Lattice="7.549 -2.206 0.000 7.549 2.206 0.000 -2.795 0.000 5.874" Properties=species:S:1:pos:R:3 pbc="T T T"
K 0.000 0.000 0.000
K 1.015 0.000 4.090
K 11.288 0.000 1.784
Hg 6.152 0.000 2.937
```

Output
Crystal system = monoclinic
Energy of formation from the pure elements = -0.118 eV per atom
VASP energy = -1.7203 Ry/atom
Calculated volume = 48.915 Å³ per atom


Record 2
The following is a meta-GGA SCAN calculation of BiNF2 at its PBEsol-relaxed geometry, from Alexandria via LeMat-Bulk.

```
4
Lattice="1.681 0.971 8.929 -1.681 0.971 8.929 0.000 -1.941 8.929" Properties=species:S:1:pos:R:3 pbc="T T T"
Bi 0.000 0.000 0.000
N 0.000 0.000 13.393
F 0.000 0.000 10.481
F 0.000 0.000 16.306
```

Output
Crystal system = trigonal
VASP energy = -1.7398 Ry/atom
Calculated volume = 21.857 Å³ per atom


Record 3
The following is a meta-GGA SCAN calculation of ZnFe4 at its PBEsol-relaxed geometry, from Alexandria via LeMat-Bulk.

```
5
Lattice="-2.642 2.642 2.642 2.642 -2.642 2.642 2.642 2.642 -2.642" Properties=species:S:1:pos:R:3 pbc="T T T"
Zn 0.000 0.000 0.000
Fe 1.321 1.321 -1.321
Fe 1.321 -1.321 1.321
Fe -1.321 1.321 1.321
Fe 1.321 1.321 1.321
```

Output
Energy above the lowest structure with this stoichiometry = 760 meV/atom
Crystal system = cubic
Energy of formation from the pure elements = 0.798 eV per atom
VASP energy = -1.2060 Ry/atom
Calculated volume = 14.754 Å³ per atom